Record 1
Computed, not measured: a relaxed MgSi crystal at the PBE-GGA level of DFT.

Cell lengths 3.6144, 5.1666, 12.4574 Å; angles 82.17, 90.00, 90.00 degrees
Fractional coordinates of all 12 atoms:
Si 0.7500 0.8914 0.4631
Si 0.2500 0.1086 0.5369
Si 0.2500 0.2702 0.8737
Si 0.7500 0.5236 0.7889
Si 0.2500 0.4764 0.2111
Si 0.7500 0.7298 0.1263
Mg 0.2500 0.9572 0.2813
Mg 0.7500 0.0428 0.7187
Mg 0.7500 0.2501 0.0556
Mg 0.7500 0.4256 0.3887
Mg 0.2500 0.5744 0.6113
Mg 0.2500 0.7499 0.9444

Summary:
- Space group: No. 11
- Formation energy without anion corrections: -0.84 kcal/mol of atoms
- D(E_F): 2.46 states/eV per cell
- Size of the total moment: 0.00 μB per cell



Record 2
Computed, not measured: a relaxed LaCu9Hg2 crystal at the PBE-GGA level of DFT.

Cell lengths 5.1259, 8.4896, 8.4896 Å; angles 90.00, 90.00, 90.00 degrees
Fractional coordinates of all 24 atoms:
Cu 0.5000 0.5000 0.0000
Cu 0.7493 0.3226 0.1774
Cu 0.2507 0.8226 0.3226
Cu 0.5000 0.2934 0.4362
Cu 0.5000 0.7934 0.0638
Cu 0.7493 0.6774 0.8226
Cu 0.5000 0.0638 0.2066
Cu 0.5000 0.2066 0.9362
Cu 0.5000 0.5638 0.2934
Cu 0.5000 0.7066 0.5638
Cu 0.2507 0.1774 0.6774
Cu 0.2507 0.6774 0.8226
Cu 0.7493 0.1774 0.6774
Cu 0.5000 0.9362 0.7934
Cu 0.2507 0.3226 0.1774
Cu 0.5000 0.0000 0.5000
Cu 0.7493 0.8226 0.3226
Cu 0.5000 0.4362 0.7066
Hg 0.0000 0.8771 0.6229
Hg 0.0000 0.1229 0.3771
Hg 0.0000 0.3771 0.8771
Hg 0.0000 0.6229 0.1229
La 0.0000 0.5000 0.5000
La 0.0000 0.0000 0.0000

Summary:
- Space group: No. 127
- E_form: -90 kJ/mol of formula units
- D(E_F): 13.11 states/eV per cell
- Size of the total moment: 0.00 μB per cell



Record 3
Computed, not measured: a relaxed NaPPd2Au crystal at the PBE-GGA level of DFT.

Cell lengths 4.5825, 4.5825, 4.7381 Å; angles 90.00, 90.00, 90.00 degrees
Fractional coordinates of all 5 atoms:
P 0.0000 0.0000 0.0000
Na 0.5000 0.5000 0.5000
Au 0.0000 0.0000 0.5000
Pd 0.0000 0.5000 0.0000
Pd 0.5000 0.0000 0.0000

Summary:
- Space group: No. 123
- E_form: -134 kJ/mol of formula units
- D(E_F): 1.79 states/eV per cell
- Size of the total moment: 0.00 μB per cell